First-principles (GGA-PBE) data for a geometry-optimized SrPtSe2 structure, as listed in Alexandria.

Cell lengths 4.3303, 4.3303, 17.6759 Å; angles 90.00, 90.00, 120.00 degrees
With the nearest neighbours (Å) after each atom.
Space group R-3m (No. 166, hexagonal axes)
One atom of each set of equivalent atoms:
Sr 0.0000 0.0000 0.0000 (multiplicity 3)  6 Se 3.14
Pt 0.0000 0.0000 0.5000 (multiplicity 3)  6 Se 2.71
Se 0.0000 0.0000 0.2262 (multiplicity 6)  3 Pt 2.71

**Formation energy from raw total energies**: -806 meV per atom
**Volume**: 287.04 Å³ per cell
**Energy above the most stable polymorph in this dataset**: 205.8 meV/atom
**Energy**: -53.7 eV for the cell shown